No. 1
Here is a relaxed structure of PrGa2Ag from Alexandria. Energies are from PBE-GGA.

Results
- crystal system = trigonal
- relative energy among the computed polymorphs (meV per atom) = 44

```
data_PrGa2Ag
_cell_length_a 4.439
_cell_length_b 4.439
_cell_length_c 15.594
_cell_angle_alpha 90.00
_cell_angle_beta 90.00
_cell_angle_gamma 120.00
_symmetry_space_group_name_H-M 'P 1'
_symmetry_Int_Tables_number 1
loop_
_symmetry_equiv_pos_as_xyz
'x,y,z'
loop_
_atom_site_label
_atom_site_type_symbol
_atom_site_fract_x
_atom_site_fract_y
_atom_site_fract_z
Pr1 Pr 0.000 0.000 0.000
Pr2 Pr 0.333 0.667 0.667
Pr3 Pr 0.667 0.333 0.333
Ga1 Ga 0.000 0.000 0.217
Ga2 Ga 0.000 0.000 0.783
Ga3 Ga 0.333 0.667 0.449
Ga4 Ga 0.333 0.667 0.884
Ga5 Ga 0.667 0.333 0.116
Ga6 Ga 0.667 0.333 0.551
Ag1 Ag 0.000 0.000 0.500
Ag2 Ag 0.333 0.667 0.167
Ag3 Ag 0.667 0.333 0.833
```



No. 2
Here is a relaxed structure of PrGa2Ag from Alexandria. Energies are from PBE-GGA.

Results
- crystal system = cubic
- relative energy among the computed polymorphs (meV per atom) = 137

```
data_PrGa2Ag
_cell_length_a 6.990
_cell_length_b 6.990
_cell_length_c 6.990
_cell_angle_alpha 90.00
_cell_angle_beta 90.00
_cell_angle_gamma 90.00
_symmetry_space_group_name_H-M 'P 1'
_symmetry_Int_Tables_number 1
loop_
_symmetry_equiv_pos_as_xyz
'x,y,z'
loop_
_atom_site_label
_atom_site_type_symbol
_atom_site_fract_x
_atom_site_fract_y
_atom_site_fract_z
Pr1 Pr 0.000 0.000 0.000
Pr2 Pr 0.000 0.500 0.500
Pr3 Pr 0.500 0.000 0.500
Pr4 Pr 0.500 0.500 0.000
Ga1 Ga 0.250 0.250 0.250
Ga2 Ga 0.250 0.250 0.750
Ga3 Ga 0.250 0.750 0.250
Ga4 Ga 0.250 0.750 0.750
Ga5 Ga 0.750 0.250 0.250
Ga6 Ga 0.750 0.250 0.750
Ga7 Ga 0.750 0.750 0.250
Ga8 Ga 0.750 0.750 0.750
Ag1 Ag 0.000 0.000 0.500
Ag2 Ag 0.000 0.500 0.000
Ag3 Ag 0.500 0.000 0.000
Ag4 Ag 0.500 0.500 0.500
```



No. 3
Here is a relaxed structure of PrGa3Ag3 from Alexandria. Energies are from PBE-GGA.

Results
- crystal system = cubic
- relative energy among the computed polymorphs (meV per atom) = 417

```
data_PrGa3Ag3
_cell_length_a 7.039
_cell_length_b 7.039
_cell_length_c 7.039
_cell_angle_alpha 90.00
_cell_angle_beta 90.00
_cell_angle_gamma 90.00
_symmetry_space_group_name_H-M 'P 1'
_symmetry_Int_Tables_number 1
loop_
_symmetry_equiv_pos_as_xyz
'x,y,z'
loop_
_atom_site_label
_atom_site_type_symbol
_atom_site_fract_x
_atom_site_fract_y
_atom_site_fract_z
Pr1 Pr 0.000 0.000 0.000
Pr2 Pr 0.500 0.500 0.500
Ga1 Ga 0.000 0.250 0.500
Ga2 Ga 0.000 0.750 0.500
Ga3 Ga 0.250 0.500 0.000
Ga4 Ga 0.500 0.000 0.250
Ga5 Ga 0.500 0.000 0.750
Ga6 Ga 0.750 0.500 0.000
Ag1 Ag 0.000 0.500 0.250
Ag2 Ag 0.000 0.500 0.750
Ag3 Ag 0.250 0.000 0.500
Ag4 Ag 0.500 0.250 0.000
Ag5 Ag 0.500 0.750 0.000
Ag6 Ag 0.750 0.000 0.500
```



No. 4
Here is a relaxed structure of Pr2GaAg from Alexandria. Energies are from PBE-GGA.

Results
- crystal system = cubic

```
data_Pr2GaAg
_cell_length_a 7.524
_cell_length_b 7.524
_cell_length_c 7.524
_cell_angle_alpha 90.00
_cell_angle_beta 90.00
_cell_angle_gamma 90.00
_symmetry_space_group_name_H-M 'P 1'
_symmetry_Int_Tables_number 1
loop_
_symmetry_equiv_pos_as_xyz
'x,y,z'
loop_
_atom_site_label
_atom_site_type_symbol
_atom_site_fract_x
_atom_site_fract_y
_atom_site_fract_z
Pr1 Pr 0.250 0.250 0.250
Pr2 Pr 0.250 0.250 0.750
Pr3 Pr 0.250 0.750 0.250
Pr4 Pr 0.250 0.750 0.750
Pr5 Pr 0.750 0.250 0.250
Pr6 Pr 0.750 0.250 0.750
Pr7 Pr 0.750 0.750 0.250
Pr8 Pr 0.750 0.750 0.750
Ga1 Ga 0.000 0.000 0.000
Ga2 Ga 0.000 0.500 0.500
Ga3 Ga 0.500 0.000 0.500
Ga4 Ga 0.500 0.500 0.000
Ag1 Ag 0.000 0.000 0.500
Ag2 Ag 0.000 0.500 0.000
Ag3 Ag 0.500 0.000 0.000
Ag4 Ag 0.500 0.500 0.500
```



Number 1: magnetization 0.0 μB/f.u., ΔE_f -0.441 eV/atom. Number 2: magnetization 0.0 μB/f.u., ΔE_f -0.348 eV/atom. Number 3: magnetization 0.0 μB/f.u., ΔE_f 0.158 eV/atom. Number 4: magnetization 0.0 μB/f.u., ΔE_f -0.394 eV/atom.